Version P
VASP calculation (PBE) on an optimized crystal structure of LiAcMg4.

abc: 8.890 4.507 7.912
angles: 90.00 90.00 90.00
Element x y z (fractional)
Li  0.250  0.000  0.198
Li  0.750  0.000  0.802
Ac  0.250  0.000  0.612
Ac  0.750  0.000  0.388
Mg  0.000  0.000  0.000
Mg  0.056  0.500  0.298
Mg  0.250  0.500  0.950
Mg  0.444  0.500  0.298
Mg  0.500  0.000  0.000
Mg  0.556  0.500  0.702
Mg  0.750  0.500  0.050
Mg  0.944  0.500  0.702

D(E_F) = 8.207 states/eV/cell



Version Q
VASP calculation (PBE) on an optimized crystal structure of LiAcMg4.

abc: 6.178 6.178 6.178
angles: 60.00 60.00 60.00
Element x y z (fractional)
Li  0.000  0.000  0.000
Ac  0.750  0.750  0.750
Mg  0.375  0.375  0.375
Mg  0.375  0.375  0.876
Mg  0.375  0.876  0.375
Mg  0.876  0.375  0.375

D(E_F) = 4.600 states/eV/cell



Most favorable structure: version P. The second most favorable one is 0.040 eV/atom above it.



Version P
VASP calculation (PBE) on an optimized crystal structure of NaLi2Ac.

abc: 11.492 11.492 11.492
angles: 18.59 18.59 18.59
Element x y z (fractional)
Na  0.000  0.000  0.000
Li  0.253  0.253  0.253
Li  0.747  0.747  0.747
Ac  0.500  0.500  0.500

D(E_F) = 3.500 states/eV/cell



Version Q
VASP calculation (PBE) on an optimized crystal structure of NaLi2Ac.

abc: 5.638 5.638 5.638
angles: 60.00 60.00 60.00
Element x y z (fractional)
Na  0.000  0.000  0.000
Li  0.250  0.250  0.250
Li  0.750  0.750  0.750
Ac  0.500  0.500  0.500

D(E_F) = 4.068 states/eV/cell



Most favorable structure: version P. The second most favorable one is 0.087 eV/atom above it.



Version P
VASP calculation (PBE) on an optimized crystal structure of NaLi2Ac.

abc: 11.526 11.526 11.526
angles: 18.50 18.50 18.50
Element x y z (fractional)
Na  0.000  0.000  0.000
Li  0.414  0.414  0.414
Li  0.587  0.587  0.587
Ac  0.167  0.167  0.167

D(E_F) = 3.220 states/eV/cell



Version Q
VASP calculation (PBE) on an optimized crystal structure of NaLi2Ac.

abc: 3.790 3.790 8.621
angles: 90.00 90.00 90.00
Element x y z (fractional)
Na  0.000  0.000  0.000
Li  0.500  0.500  0.222
Li  0.500  0.500  0.778
Ac  0.000  0.000  0.500

D(E_F) = 3.309 states/eV/cell



Most favorable structure: version Q. The second most favorable one is 0.033 eV/atom above it.



Version P
VASP calculation (PBE) on an optimized crystal structure of Li2AcNd.

abc: 5.569 5.569 5.569
angles: 60.00 60.00 60.00
Element x y z (fractional)
Li  0.250  0.250  0.250
Li  0.750  0.750  0.750
Ac  0.000  0.000  0.000
Nd  0.500  0.500  0.500

D(E_F) = 5.957 states/eV/cell



Version Q
VASP calculation (PBE) on an optimized crystal structure of Li2AcNd.

abc: 3.963 3.963 7.743
angles: 90.00 90.00 90.00
Element x y z (fractional)
Li  0.000  0.000  0.235
Li  0.000  0.000  0.765
Ac  0.500  0.500  0.500
Nd  0.500  0.500  0.000

D(E_F) = 6.337 states/eV/cell



Most favorable structure: version Q. The second most favorable one is 0.006 eV/atom above it.



Version P
VASP calculation (PBE) on an optimized crystal structure of Li2AcNi.

abc: 4.057 8.341 5.604
angles: 90.00 111.13 90.00
Element x y z (fractional)
Li  0.175  0.059  0.350
Li  0.175  0.441  0.350
Li  0.825  0.559  0.650
Li  0.825  0.941  0.650
Ac  0.451  0.250  0.904
Ac  0.549  0.750  0.096
Ni  0.256  0.750  0.514
Ni  0.744  0.250  0.486

D(E_F) = 5.706 states/eV/cell



Version Q
VASP calculation (PBE) on an optimized crystal structure of Li2AcNi.

abc: 10.089 10.089 10.089
angles: 19.45 19.45 19.45
Element x y z (fractional)
Li  0.114  0.114  0.114
Li  0.886  0.886  0.886
Ac  0.000  0.000  0.000
Ni  0.500  0.500  0.500

D(E_F) = 2.999 states/eV/cell



Most favorable structure: version P. The second most favorable one is 0.585 eV/atom above it.



Version P
VASP calculation (PBE) on an optimized crystal structure of Li3Ac2Ni2.

abc: 5.691 5.691 7.451
angles: 95.53 95.53 42.41
Element x y z (fractional)
Li  0.000  0.000  0.000
Li  0.332  0.332  0.135
Li  0.668  0.668  0.865
Ac  0.372  0.372  0.650
Ac  0.628  0.628  0.350
Ni  0.078  0.078  0.642
Ni  0.922  0.922  0.358

D(E_F) = 4.133 states/eV/cell



Version Q
VASP calculation (PBE) on an optimized crystal structure of Li3Ac2Ni2.

abc: 11.109 11.109 3.990
angles: 90.00 90.00 158.97
Element x y z (fractional)
Li  0.000  0.000  0.000
Li  0.434  0.566  0.500
Li  0.566  0.434  0.500
Ac  0.170  0.830  0.000
Ac  0.830  0.170  0.000
Ni  0.282  0.718  0.500
Ni  0.718  0.282  0.500

D(E_F) = 4.325 states/eV/cell



Most favorable structure: version Q. The second most favorable one is 0.018 eV/atom above it.



Version P
VASP calculation (PBE) on an optimized crystal structure of LiAcP.

abc: 4.274 4.274 8.698
angles: 90.00 90.00 120.00
Element x y z (fractional)
Li  0.333  0.667  0.250
Li  0.667  0.333  0.750
Ac  0.000  0.000  0.000
Ac  0.000  0.000  0.500
P  0.333  0.667  0.750
P  0.667  0.333  0.250

D(E_F) = 2.280 states/eV/cell



Version Q
VASP calculation (PBE) on an optimized crystal structure of LiAcP.

abc: 4.288 4.288 4.355
angles: 90.00 90.00 120.00
Element x y z (fractional)
Li  0.000  0.000  0.000
Ac  0.333  0.667  0.500
P  0.667  0.333  0.000

D(E_F) = 0.410 states/eV/cell



Version R
VASP calculation (PBE) on an optimized crystal structure of LiAcP.

abc: 4.878 4.878 4.878
angles: 60.00 60.00 60.00
Element x y z (fractional)
Li  0.000  0.000  0.000
Ac  0.500  0.500  0.500
P  0.750  0.750  0.750

D(E_F) = 2.104 states/eV/cell



Most favorable structure: version Q. The second most favorable one is 0.017 eV/atom above it.



Version P
VASP calculation (PBE) on an optimized crystal structure of LiAcP.

abc: 6.047 6.047 7.263
angles: 122.01 122.01 40.53
Element x y z (fractional)
Li  0.193  0.193  0.080
Li  0.807  0.807  0.920
Ac  0.451  0.451  0.689
Ac  0.549  0.549  0.311
P  0.191  0.191  0.718
P  0.809  0.809  0.282

D(E_F) = 2.442 states/eV/cell



Version Q
VASP calculation (PBE) on an optimized crystal structure of LiAcP.

abc: 5.141 5.141 5.141
angles: 131.25 131.25 71.41
Element x y z (fractional)
Li  0.000  0.000  0.000
Ac  0.352  0.352  0.000
P  0.712  0.712  0.000

D(E_F) = 2.094 states/eV/cell



Most favorable structure: version P. The second most favorable one is 0.334 eV/atom above it.